[1]
VCoNi: optimized geometry, GGA-PBE.

The value obtained for the formation energy is -75 meV/atom. For the distance to the lowest polymorph of the same formula, the calculation gives 99 meV per atom.

It has space group I4mm (No. 107), with a = 2.534 Å, b = 2.534 Å, c = 10.670 Å, α = 90.00°, β = 90.00° and γ = 90.00°. The asymmetric unit holds V at (0.000, 0.000, 0.000), Co at (0.000, 0.000, 0.336) and Ni at (0.000, 0.000, 0.673).

---

[2]
VCo3Ni4: optimized geometry, GGA-PBE.

The value obtained for the formation energy is 137 meV/atom. For the distance to the lowest polymorph of the same formula, the calculation gives 213 meV per atom.

It has space group Immm (No. 71), with a = 2.430 Å, b = 8.155 Å, c = 9.224 Å, α = 90.00°, β = 90.00° and γ = 90.00°. The asymmetric unit holds V at (0.000, 0.000, 0.000), Co at (0.000, 0.000, 0.500), Co at (0.000, 0.500, 0.264) and Ni at (0.000, 0.251, 0.131).

---

[3]
V3CoNi: optimized geometry, GGA-PBE.

The value obtained for the formation energy is 174 meV/atom. For the distance to the lowest polymorph of the same formula, the calculation gives 0 meV per atom.

It has space group P2_1/m (No. 11), with a = 4.117 Å, b = 6.281 Å, c = 4.989 Å, α = 90.00°, β = 92.29° and γ = 90.00°. The asymmetric unit holds V at (0.161, 0.250, 0.018), V at (0.320, 0.558, 0.729), Co at (0.297, 0.750, 0.241) and Ni at (0.184, 0.250, 0.479).

---

[4]
VCoNi4: optimized geometry, GGA-PBE.

The value obtained for the formation energy is 13 meV/atom. For the distance to the lowest polymorph of the same formula, the calculation gives 8 meV per atom.

It has space group F-43m (No. 216), with a = 6.515 Å, b = 6.515 Å, c = 6.515 Å, α = 90.00°, β = 90.00° and γ = 90.00°. The asymmetric unit holds V at (0.000, 0.000, 0.000), Co at (0.250, 0.250, 0.750) and Ni at (0.125, 0.125, 0.375).

---

Number 1: VASP energy -22.231 eV/f.u.. Number 2: VASP energy -52.463 eV/f.u.. Number 3: VASP energy -39.371 eV/f.u.. Number 4: VASP energy -39.271 eV/f.u..